[1]
Tl2AgPdCl6 | OQMD | PBE | relaxed; electronic total energy = -30.690 eV for the cell shown; V = 256 Å³/f.u.; symmetry = No. 148
1.0
3.585 2.070 5.755
-3.585 2.070 5.755
0.000 -4.139 5.755
Ag Cl Pd Tl
1 6 1 2
direct
0.500 0.500 0.500
0.274 0.762 0.208
0.792 0.727 0.239
0.762 0.208 0.274
0.239 0.792 0.727
0.208 0.274 0.762
0.727 0.239 0.792
0.000 0.000 0.000
0.249 0.249 0.249
0.751 0.751 0.751

[2]
TlZnFeHg | OQMD | PBE | relaxed; energy above the lowest structure with this stoichiometry = 0 meV/atom; V = 78 Å³/f.u.; symmetry = No. 216
1.0
0.000 3.391 3.391
3.391 0.000 3.391
3.391 3.391 0.000
Fe Hg Tl Zn
1 1 1 1
direct
0.750 0.750 0.750
0.500 0.500 0.500
0.000 0.000 0.000
0.250 0.250 0.250

[3]
Dy2Nb | OQMD | PBE | relaxed; energy above the lowest structure with this stoichiometry = 0 meV/atom; V = 77 Å³/f.u.; symmetry = No. 227; ΔE_f = 0.904 eV per atom
1.0
0.000 4.262 4.262
4.262 0.000 4.262
4.262 4.262 0.000
Dy Nb
4 2
direct
0.625 0.625 0.125
0.625 0.125 0.625
0.125 0.625 0.625
0.625 0.625 0.625
0.000 0.000 0.000
0.250 0.250 0.250

[4]
Pr2NdIr2PdPb3 | OQMD | PBE | relaxed; electronic total energy = -53.627 eV for the cell shown; V = 217 Å³/f.u.; symmetry = No. 38
1.0
-2.625 -0.225 3.062
5.874 -1.913 4.896
-1.913 7.569 -1.085
Ir Nd Pb Pd Pr
2 1 3 1 2
direct
0.500 0.666 0.334
0.500 0.334 0.666
0.000 0.587 0.587
0.500 0.261 0.261
0.500 0.000 0.739
0.500 0.739 0.000
0.000 0.999 0.999
0.000 0.413 0.000
0.000 0.000 0.413

[5]
NpZnSn | OQMD | PBE | relaxed; electronic total energy = -17.748 eV for the cell shown; V = 74 Å³/f.u.; symmetry = No. 216
1.0
-3.620 0.818 2.890
-3.638 2.598 -1.464
-4.164 -2.031 -0.813
Np Sn Zn
1 1 1
direct
0.250 0.250 0.250
0.750 0.750 0.750
0.000 0.000 0.000

[6]
Ta4CdCoN2 | OQMD | PBE | relaxed; electronic total energy = -75.731 eV for the cell shown; V = 113 Å³/f.u.; symmetry = No. 187
1.0
3.085 0.000 0.000
-1.543 2.672 0.000
0.000 0.000 13.701
Cd Co N Ta
1 1 2 4
direct
0.333 0.667 0.000
0.667 0.333 0.500
0.000 0.000 0.269
0.000 0.000 0.731
0.667 0.333 0.180
0.333 0.667 0.359
0.333 0.667 0.641
0.667 0.333 0.820